# BiTeIN2 (PBE-GGA, optimized geometry)
# - Excess energy over the best structure of this formula in the dataset: 0 meV per atom
# - ΔE_f (raw): 1.4738 eV per atom
# - V: 136.1 Å³ per cell
# - Density of states at the Fermi level: 5.07 states/eV/f.u.
# - Magnetic moment: 2.5 μB/f.u.
data_BiTeIN2
_space_group_name_H-M_alt 'P 1'
_space_group_IT_number 1
_space_group_name_Hall 'P 1'
_cell_length_a 4.496
_cell_length_b 4.496
_cell_length_c 6.731
_cell_angle_alpha 90.00
_cell_angle_beta 90.00
_cell_angle_gamma 90.00
loop_
_atom_site_label
_atom_site_type_symbol
_atom_site_fract_x
_atom_site_fract_y
_atom_site_fract_z
I1 I 0.500 0.500 0.500
Bi1 Bi 0.000 0.000 0.000
Te1 Te 0.000 0.000 0.500
N1 N 0.000 0.500 0.000
N2 N 0.500 0.000 0.000

***

# TaTcP2 (PBE-GGA, optimized geometry)
# - Energy of formation from the pure elements: -0.275 eV per atom
# - Excess energy over the best structure of this formula in the dataset: 384 meV per atom
# - V: 59.7 Å³ per cell
# - Density of states at the Fermi level: 2.66 states/eV/f.u.
# - Magnetic moment: 0.0 μB/f.u.
data_TaTcP2
_space_group_name_H-M_alt 'P 1'
_space_group_IT_number 1
_space_group_name_Hall 'P 1'
_cell_length_a 3.652
_cell_length_b 3.091
_cell_length_c 5.285
_cell_angle_alpha 90.02
_cell_angle_beta 90.00
_cell_angle_gamma 90.00
loop_
_atom_site_label
_atom_site_type_symbol
_atom_site_fract_x
_atom_site_fract_y
_atom_site_fract_z
Tc1 Tc 0.500 0.750 0.750
P1 P 0.000 0.750 0.026
Ta1 Ta 0.500 0.250 0.250
P2 P 0.000 0.750 0.474

***

# LiCo2P (PBE-GGA, optimized geometry)
# - Energy of formation from the pure elements: -0.193 eV per atom
# - V: 44.7 Å³ per cell
# - Density of states at the Fermi level: 4.20 states/eV/f.u.
# - Magnetic moment: 1.7 μB/f.u.
data_LiCo2P
_space_group_name_H-M_alt 'P 1'
_space_group_IT_number 1
_space_group_name_Hall 'P 1'
_cell_length_a 3.932
_cell_length_b 2.686
_cell_length_c 4.448
_cell_angle_alpha 72.25
_cell_angle_beta 90.00
_cell_angle_gamma 90.00
loop_
_atom_site_label
_atom_site_type_symbol
_atom_site_fract_x
_atom_site_fract_y
_atom_site_fract_z
Li1 Li 0.000 0.550 0.528
P1 P 0.500 0.932 0.760
Co1 Co 0.000 0.811 0.002
Co2 Co 0.500 0.206 0.210

***

# NiS2N (PBE-GGA, optimized geometry)
# - ΔE_f (raw): 0.7086 eV per atom
# - V: 115.9 Å³ per cell
# - Density of states at the Fermi level: 2.54 states/eV/f.u.
# - Magnetic moment: 0.0 μB/f.u.
data_NiS2N
_space_group_name_H-M_alt 'P 1'
_space_group_IT_number 1
_space_group_name_Hall 'P 1'
_cell_length_a 4.824
_cell_length_b 4.824
_cell_length_c 6.036
_cell_angle_alpha 66.45
_cell_angle_beta 66.45
_cell_angle_gamma 90.00
loop_
_atom_site_label
_atom_site_type_symbol
_atom_site_fract_x
_atom_site_fract_y
_atom_site_fract_z
N1 N 0.500 0.500 0.000
S1 S 0.875 0.861 0.750
Ni1 Ni 0.750 0.250 0.500
S2 S 0.375 0.389 0.750
S3 S 0.611 0.125 0.250
N2 N 0.250 0.750 0.500
S4 S 0.139 0.625 0.250
Ni2 Ni 0.000 0.000 0.000

***

# KTl2Os (PBE-GGA, optimized geometry)
# - Energy of formation from the pure elements: 1.035 eV per atom
# - Excess energy over the best structure of this formula in the dataset: 484 meV per atom
# - V: 97.9 Å³ per cell
# - Density of states at the Fermi level: 3.56 states/eV/f.u.
# - Magnetic moment: 0.4 μB/f.u.
data_KTl2Os
_space_group_name_H-M_alt 'P 1'
_space_group_IT_number 1
_space_group_name_Hall 'P 1'
_cell_length_a 6.093
_cell_length_b 6.093
_cell_length_c 2.906
_cell_angle_alpha 90.00
_cell_angle_beta 90.00
_cell_angle_gamma 114.91
loop_
_atom_site_label
_atom_site_type_symbol
_atom_site_fract_x
_atom_site_fract_y
_atom_site_fract_z
Os1 Os 0.000 0.500 0.500
Tl1 Tl 0.500 0.500 0.000
K1 K 0.500 0.000 0.500
Tl2 Tl 0.000 0.000 0.000

***

# Nd3Zn9Ga2 (PBE-GGA, optimized geometry)
# - Energy of formation from the pure elements: -0.354 eV per atom
# - V: 269.6 Å³ per cell
# - Density of states at the Fermi level: 7.61 states/eV/f.u.
# - Magnetic moment: 0.0 μB/f.u.
data_Nd3Zn9Ga2
_space_group_name_H-M_alt 'P 1'
_space_group_IT_number 1
_space_group_name_Hall 'P 1'
_cell_length_a 4.459
_cell_length_b 8.300
_cell_length_c 8.300
_cell_angle_alpha 68.10
_cell_angle_beta 74.42
_cell_angle_gamma 74.42
loop_
_atom_site_label
_atom_site_type_symbol
_atom_site_fract_x
_atom_site_fract_y
_atom_site_fract_z
Nd1 Nd 0.303 0.697 0.697
Nd2 Nd 0.697 0.303 0.303
Zn1 Zn 0.143 0.581 0.134
Zn2 Zn 0.000 0.500 0.500
Zn3 Zn 0.341 0.294 0.024
Zn4 Zn 0.857 0.866 0.419
Zn5 Zn 0.143 0.134 0.581
Zn6 Zn 0.857 0.419 0.866
Zn7 Zn 0.341 0.024 0.294
Ga1 Ga 0.500 0.298 0.702
Zn8 Zn 0.659 0.706 0.976
Ga2 Ga 0.500 0.702 0.298
Zn9 Zn 0.659 0.976 0.706
Nd3 Nd 0.000 0.000 0.000

***

# Cs3K12Na (PBE-GGA, optimized geometry)
# - Energy of formation from the pure elements: 0.014 eV per atom
# - V: 1228.0 Å³ per cell
# - Density of states at the Fermi level: 12.96 states/eV/f.u.
# - Magnetic moment: 0.0 μB/f.u.
data_Cs3K12Na
_space_group_name_H-M_alt 'P 1'
_space_group_IT_number 1
_space_group_name_Hall 'P 1'
_cell_length_a 6.866
_cell_length_b 6.866
_cell_length_c 26.047
_cell_angle_alpha 90.00
_cell_angle_beta 90.00
_cell_angle_gamma 90.00
loop_
_atom_site_label
_atom_site_type_symbol
_atom_site_fract_x
_atom_site_fract_y
_atom_site_fract_z
K1 K 0.500 0.500 0.765
K2 K 0.000 0.500 0.367
K3 K 0.500 0.000 0.102
K4 K 0.000 0.500 0.898
K5 K 0.500 0.000 0.367
K6 K 0.500 0.500 0.500
K7 K 0.000 0.500 0.633
Na1 Na 0.000 0.000 0.000
K8 K 0.500 0.500 0.235
Cs1 Cs 0.000 0.000 0.234
K9 K 0.500 0.000 0.633
K10 K 0.500 0.500 0.000
Cs2 Cs 0.000 0.000 0.500
K11 K 0.500 0.000 0.898
Cs3 Cs 0.000 0.000 0.766
K12 K 0.000 0.500 0.102

***

# KPmPaSe4 (PBE-GGA, optimized geometry)
# - ΔE_f (raw): -1.5277 eV per atom
# - V: 491.5 Å³ per cell
# - Density of states at the Fermi level: 5.42 states/eV/f.u.
# - Magnetic moment: 1.0 μB/f.u.
data_KPmPaSe4
_space_group_name_H-M_alt 'P 1'
_space_group_IT_number 1
_space_group_name_Hall 'P 1'
_cell_length_a 8.809
_cell_length_b 8.855
_cell_length_c 8.919
_cell_angle_alpha 120.24
_cell_angle_beta 90.00
_cell_angle_gamma 119.83
loop_
_atom_site_label
_atom_site_type_symbol
_atom_site_fract_x
_atom_site_fract_y
_atom_site_fract_z
Se1 Se 0.742 0.045 0.273
Se2 Se 0.263 0.526 0.723
Pa1 Pa 0.000 0.500 0.500
Se3 Se 0.303 0.045 0.273
K1 K 0.125 0.250 0.875
Se4 Se 0.737 0.474 0.277
K2 K 0.875 0.750 0.125
Se5 Se 0.697 0.955 0.727
Pm1 Pm 0.500 0.000 0.000
Se6 Se 0.258 0.955 0.727
Pa2 Pa 0.500 0.500 0.500
Se7 Se 0.737 0.474 0.697
Se8 Se 0.263 0.526 0.303
Pm2 Pm 0.500 0.000 0.500

***

# Zn2GaSn2 (PBE-GGA, optimized geometry)
# - Energy of formation from the pure elements: 0.095 eV per atom
# - Excess energy over the best structure of this formula in the dataset: 0 meV per atom
# - V: 215.7 Å³ per cell
# - Density of states at the Fermi level: 1.83 states/eV/f.u.
# - Magnetic moment: 0.0 μB/f.u.
data_Zn2GaSn2
_space_group_name_H-M_alt 'P 1'
_space_group_IT_number 1
_space_group_name_Hall 'P 1'
_cell_length_a 6.945
_cell_length_b 6.945
_cell_length_c 4.472
_cell_angle_alpha 90.00
_cell_angle_beta 90.00
_cell_angle_gamma 90.00
loop_
_atom_site_label
_atom_site_type_symbol
_atom_site_fract_x
_atom_site_fract_y
_atom_site_fract_z
Zn1 Zn 0.370 0.870 0.000
Zn2 Zn 0.870 0.630 0.000
Sn1 Sn 0.321 0.179 0.500
Ga1 Ga 0.000 0.000 0.000
Zn3 Zn 0.130 0.370 0.000
Ga2 Ga 0.500 0.500 0.000
Zn4 Zn 0.630 0.130 0.000
Sn2 Sn 0.679 0.821 0.500
Sn3 Sn 0.179 0.679 0.500
Sn4 Sn 0.821 0.321 0.500

***

# ErLuNi (PBE-GGA, optimized geometry)
# - Energy of formation from the pure elements: -0.295 eV per atom
# - Excess energy over the best structure of this formula in the dataset: 0 meV per atom
# - V: 68.2 Å³ per cell
# - Density of states at the Fermi level: 2.36 states/eV/f.u.
# - Magnetic moment: 0.0 μB/f.u.
data_ErLuNi
_space_group_name_H-M_alt 'P 1'
_space_group_IT_number 1
_space_group_name_Hall 'P 1'
_cell_length_a 3.347
_cell_length_b 3.347
_cell_length_c 6.535
_cell_angle_alpha 104.84
_cell_angle_beta 104.84
_cell_angle_gamma 90.00
loop_
_atom_site_label
_atom_site_type_symbol
_atom_site_fract_x
_atom_site_fract_y
_atom_site_fract_z
Er1 Er 0.034 0.034 0.067
Lu1 Lu 0.298 0.298 0.595
Ni1 Ni 0.669 0.669 0.338

***

# Ce2Ge3SbPt4 (PBE-GGA, optimized geometry)
# - ΔE_f (raw): -0.8465 eV per atom
# - V: 202.6 Å³ per cell
# - Density of states at the Fermi level: 13.72 states/eV/f.u.
# - Magnetic moment: 1.3 μB/f.u.
data_Ce2Ge3SbPt4
_space_group_name_H-M_alt 'P 1'
_space_group_IT_number 1
_space_group_name_Hall 'P 1'
_cell_length_a 4.451
_cell_length_b 4.451
_cell_length_c 10.229
_cell_angle_alpha 90.00
_cell_angle_beta 90.00
_cell_angle_gamma 90.00
loop_
_atom_site_label
_atom_site_type_symbol
_atom_site_fract_x
_atom_site_fract_y
_atom_site_fract_z
Ce1 Ce 0.500 0.000 0.236
Ge1 Ge 0.000 0.000 0.500
Ge2 Ge 0.500 0.000 0.875
Pt1 Pt 0.000 0.500 0.364
Ge3 Ge 0.000 0.500 0.125
Pt2 Pt 0.500 0.500 0.000
Pt3 Pt 0.000 0.000 0.000
Ce2 Ce 0.000 0.500 0.764
Sb1 Sb 0.500 0.500 0.500
Pt4 Pt 0.500 0.000 0.636

***

# CdIn2Sb (PBE-GGA, optimized geometry)
# - Excess energy over the best structure of this formula in the dataset: 0 meV per atom
# - ΔE_f (raw): 0.0370 eV per atom
# - V: 108.9 Å³ per cell
# - Density of states at the Fermi level: 1.26 states/eV/f.u.
# - Magnetic moment: 0.0 μB/f.u.
data_CdIn2Sb
_space_group_name_H-M_alt 'P 1'
_space_group_IT_number 1
_space_group_name_Hall 'P 1'
_cell_length_a 5.249
_cell_length_b 3.079
_cell_length_c 6.944
_cell_angle_alpha 76.05
_cell_angle_beta 90.00
_cell_angle_gamma 90.00
loop_
_atom_site_label
_atom_site_type_symbol
_atom_site_fract_x
_atom_site_fract_y
_atom_site_fract_z
In1 In 0.000 0.319 0.983
In2 In 0.000 0.181 0.517
Cd1 Cd 0.500 0.750 0.750
Sb1 Sb 0.500 0.250 0.250